Entry 1:
Density functional theory data (PBE) for crystalline SrPm6Nd8 at its relaxed geometry.

The crystal system is trigonal. The energy relative to the elements comes out at 2.7 eV per formula unit.

The structure belongs to space group R-3 (No. 148, hexagonal axes); the cell edges are 9.9785, 9.9785 and 18.5732 Å and the angles 90.00°, 90.00° and 120.00°. Symmetry generates all atoms from Sr at (0.0000, 0.0000, 0.0000), Pm at (0.0232, 0.7877, 0.4066), Nd at (0.0000, 0.0000, 0.2340) and Nd at (0.0447, 0.7578, 0.9001).

---

Entry 2:
Density functional theory data (PBE) for crystalline SrPm12Nd6 at its relaxed geometry.

The crystal system is trigonal. The energy relative to the elements comes out at 3.7 eV per formula unit.

The structure belongs to space group R-3m (No. 166, hexagonal axes); the cell edges are 13.6780, 13.6780 and 12.9531 Å and the angles 90.00°, 90.00° and 120.00°. Symmetry generates all atoms from Sr at (0.0000, 0.0000, 0.0000), Pm at (0.0000, 0.2612, 0.5000), Pm at (0.0920, 0.1839, 0.2678) and Nd at (0.0348, 0.5174, 0.6176).

---

Entry 3:
Density functional theory data (PBE) for crystalline SrPmNd2 at its relaxed geometry.

The crystal system is cubic. The energy relative to the elements comes out at 0.9 eV per formula unit. The energy above the most stable polymorph in this dataset is 0.132 eV/atom.

The structure belongs to space group Fm-3m (No. 225); the cell edges are 8.4937, 8.4937 and 8.4937 Å and the angles 90.00°, 90.00° and 90.00°. Symmetry generates all atoms from Sr at (0.0000, 0.0000, 0.0000), Pm at (0.0000, 0.0000, 0.5000) and Nd at (0.2500, 0.2500, 0.2500).

---

Entry 4:
Density functional theory data (PBE) for crystalline SrPmNd2 at its relaxed geometry.

The crystal system is tetragonal. The energy relative to the elements comes out at 0.6 eV per formula unit. The energy above the most stable polymorph in this dataset is 0.067 eV/atom.

The structure belongs to space group P4/mmm (No. 123); the cell edges are 5.3372, 5.3372 and 5.3262 Å and the angles 90.00°, 90.00° and 90.00°. Symmetry generates all atoms from Sr at (0.0000, 0.0000, 0.0000), Pm at (0.5000, 0.5000, 0.0000) and Nd at (0.0000, 0.5000, 0.5000).